(1)
Compound: AgAuSeN2
Source: the Alexandria database
Functional: GGA-PBE
Structure: relaxed

Values from the calculation:
The polymorph energy (0 for the lowest one) is 0.92 eV per formula unit. For the uncorrected formation energy, the calculation gives 1.79 eV/atom.

Cell lengths 4.0002, 4.0002, 6.2358 Å; angles 90.00, 90.00, 90.00 degrees
Space group P4/mmm (No. 123)
Symmetry-distinct sites (fractional):
Ag 0.0000 0.0000 0.0000 [1 per cell]
Au 0.5000 0.5000 0.5000 [1 per cell]
Se 0.0000 0.0000 0.5000 [1 per cell]
N 0.0000 0.5000 0.0000 [2 per cell]

---

(2)
Compound: Sr6Ag2AuN
Source: the Alexandria database
Functional: GGA-PBE
Structure: relaxed

Values from the calculation:
For the uncorrected formation energy, the calculation gives -0.42 eV/atom.

Cell lengths 7.4622, 8.1619, 13.0563 Å; angles 90.00, 123.41, 90.00 degrees
Space group P2_1/c (No. 14)
Symmetry-distinct sites (fractional):
Sr 0.1118 0.0294 0.2282 [4 per cell]
Sr 0.2148 0.7130 0.0556 [4 per cell]
Sr 0.3473 0.1680 0.0525 [4 per cell]
Ag 0.2944 0.0942 0.7526 [4 per cell]
Au 0.5000 0.0000 0.5000 [2 per cell]
N 0.0000 0.0000 0.0000 [2 per cell]

---

(3)
Compound: SrAg2AuN
Source: the Alexandria database
Functional: GGA-PBE
Structure: relaxed

Values from the calculation:
For the uncorrected formation energy, the calculation gives 1.33 eV/atom.

Cell lengths 5.7206, 5.7206, 4.2565 Å; angles 90.00, 90.00, 90.00 degrees
Space group P4/mmm (No. 123)
Symmetry-distinct sites (fractional):
Sr 0.0000 0.0000 0.0000 [1 per cell]
Ag 0.0000 0.5000 0.0000 [2 per cell]
Au 0.5000 0.5000 0.5000 [1 per cell]
N 0.0000 0.0000 0.5000 [1 per cell]

---

Repeat the second record exactly.
Compound: Sr6Ag2AuN
Source: the Alexandria database
Functional: GGA-PBE
Structure: relaxed

Values from the calculation:
For the uncorrected formation energy, the calculation gives -0.42 eV/atom.

Cell lengths 7.4622, 8.1619, 13.0563 Å; angles 90.00, 123.41, 90.00 degrees
Space group P2_1/c (No. 14)
Symmetry-distinct sites (fractional):
Sr 0.1118 0.0294 0.2282 [4 per cell]
Sr 0.2148 0.7130 0.0556 [4 per cell]
Sr 0.3473 0.1680 0.0525 [4 per cell]
Ag 0.2944 0.0942 0.7526 [4 per cell]
Au 0.5000 0.0000 0.5000 [2 per cell]
N 0.0000 0.0000 0.0000 [2 per cell]